# PBE-GGA AgWBr2, relaxed
# formation energy from raw total energies: 71 kJ/mol of atoms
# DOS(E_F): 3.07 states/eV/cell
# V: 21.1 Å³/atom
# size of the total moment: 0.000 μB per atom
# distance to the lowest polymorph of the same formula: 0.384 eV/atom
# symmetry: P2/m (10)
data_AgWBr2
_cell_length_a 3.120
_cell_length_b 4.346
_cell_length_c 6.377
_cell_angle_alpha 90.00
_cell_angle_beta 102.50
_cell_angle_gamma 90.00
_space_group_name_H-M_alt 'P 1'
_space_group_IT_number 1
loop_
_space_group_symop_operation_xyz
'x,y,z'
loop_
_atom_site_label
_atom_site_type_symbol
_atom_site_fract_x
_atom_site_fract_y
_atom_site_fract_z
Ag1 Ag 0.000 0.000 0.000
W1 W 0.000 0.000 0.500
Br1 Br 0.207 0.500 0.733
Br2 Br 0.793 0.500 0.267